An optimized crystal structure of Ce2ScSb3. Source: Alexandria via LeMat-Bulk, functional GGA-PBE.

abc: 7.6073 7.6073 7.6053
angles: 99.65 99.65 120.05
Atoms (fractional coordinates):
Ce (0.0000, 0.0000, 0.0000)
Ce (0.1618, 0.8382, 0.5000)
Ce (0.5000, 0.5000, 0.5000)
Ce (0.8382, 0.1618, 0.5000)
Sc (0.3315, 0.6685, 0.0000)
Sc (0.6685, 0.3315, 0.0000)
Sb (0.0796, 0.4239, 0.2378)
Sb (0.2684, 0.2684, 0.7689)
Sb (0.4239, 0.0796, 0.2378)
Sb (0.5761, 0.9204, 0.7622)
Sb (0.7316, 0.7316, 0.2311)
Sb (0.9204, 0.5761, 0.7622)

As for the total magnetization: 3.166 μB/cell. The density of states at the Fermi level comes out at 13.38 states/eV/f.u. As for the space-group type: C2/m. For the total energy, the calculation gives -73.0 eV/cell. The formation energy (no corrections) is -0.987 eV/atom.